This record from Alexandria via LeMat-Bulk describes a relaxed Na2Sr2Ni crystal. The functional is PBE.

The structure in POSCAR format:
```
Na2Sr2Ni
1.0
-4.747 4.448 4.352
0.991 -4.864 6.051
5.132 3.526 1.994
Sr Na Ni
4 4 2
Direct
0.321 0.821 0.000 Sr
0.821 0.679 0.000 Sr
0.679 0.179 0.000 Sr
0.179 0.321 0.000 Sr
0.160 0.660 0.500 Na
0.660 0.840 0.500 Na
0.840 0.340 0.500 Na
0.340 0.160 0.500 Na
0.000 0.000 0.000 Ni
0.500 0.500 0.000 Ni
```

## Properties
For the energy of formation from the pure elements, the calculation gives 0.2809 eV/atom. The calculation puts the total energy at -2.08 eV per atom. As for the space group: P4/mbm, No. 127.